Record 1
Here is a relaxed Pr2AlGa3Au4 crystal from Alexandria. Energies are from PBE-GGA.

## Properties
Spin magnetization = 0.00 μB per cell
Space group = No. 115
DFT formation energy = -65.8 kJ/mol of atoms
Crystal system = tetragonal
Density of states at the Fermi level = 0.4809 states/eV per atom

Lattice parameters (Å, degrees): 4.4525 4.4525 10.5398 90.00 90.00 90.00
Element x y z (fractional)
Pr: 0.0000 0.5000 0.2465
Pr: 0.5000 0.0000 0.7535
Al: 0.0000 0.0000 0.5000
Ga: 0.0000 0.5000 0.8662
Ga: 0.5000 0.0000 0.1338
Ga: 0.5000 0.5000 0.5000
Au: 0.0000 0.0000 0.0000
Au: 0.0000 0.5000 0.6274
Au: 0.5000 0.0000 0.3726
Au: 0.5000 0.5000 0.0000

Record 2
Here is a relaxed CuIrSe crystal from Alexandria. Energies are from PBE-GGA.

## Properties
Spin magnetization = 0.00 μB per cell
Uncorrected formation energy = 0.9 eV per formula unit
Space group = No. 216
Energy above the lowest structure with this stoichiometry = 31 meV/atom
Crystal system = cubic
Density of states at the Fermi level = 0.9420 states/eV per atom

Lattice parameters (Å, degrees): 4.1843 4.1843 4.1843 60.00 60.00 60.00
Element x y z (fractional)
Cu: 0.0000 0.0000 0.0000
Ir: 0.7500 0.7500 0.7500
Se: 0.5000 0.5000 0.5000

Record 3
Here is a relaxed CoNiN2 crystal from Alexandria. Energies are from PBE-GGA.

## Properties
Spin magnetization = 0.00 μB per cell
Uncorrected formation energy = 1.9 eV per formula unit
Space group = No. 166
Energy above the lowest structure with this stoichiometry = 219 meV/atom
Crystal system = trigonal
Density of states at the Fermi level = 1.4210 states/eV per atom

Lattice parameters (Å, degrees): 5.9680 5.9680 5.9680 26.50 26.50 26.50
Element x y z (fractional)
Co: 0.0000 0.0000 0.0000
Ni: 0.5000 0.5000 0.5000
N: 0.3960 0.3960 0.3960
N: 0.6040 0.6040 0.6040